Entry 1:
# ZrCdRe2 (PBE-GGA, optimized geometry)
# - Theoretical density: 13.64 g cm⁻³
# - SG: I-4m2, No. 119
# - DFT total energy: -8.2455 eV per atom
# - Fermi-level density of states: 3.66 states/eV per cell
# - Magnetization: 0.0 μB per cell
data_ZrCdRe2
_cell_length_a 4.8779
_cell_length_b 4.8779
_cell_length_c 4.8779
_cell_angle_alpha 127.92
_cell_angle_beta 127.92
_cell_angle_gamma 76.76
_space_group_name_H-M_alt 'P 1'
_space_group_IT_number 1
loop_
_space_group_symop_operation_xyz
'x,y,z'
loop_
_atom_site_label
_atom_site_type_symbol
_atom_site_fract_x
_atom_site_fract_y
_atom_site_fract_z
Cd1 Cd 0.7500 0.2500 0.5000
Zr1 Zr 0.5000 0.5000 0.0000
Re1 Re 0.2500 0.7500 0.5000
Re2 Re 0.0000 0.0000 0.0000

***

Entry 2:
# Zr3CdRe2 (PBE-GGA, optimized geometry)
# - Theoretical density: 10.71 g cm⁻³
# - SG: P4/mmm, No. 123
# - DFT total energy: -8.7912 eV per atom
# - Fermi-level density of states: 4.81 states/eV per cell
# - Magnetization: 0.0 μB per cell
data_Zr3CdRe2
_cell_length_a 3.3421
_cell_length_b 3.3421
_cell_length_c 10.5294
_cell_angle_alpha 90.00
_cell_angle_beta 90.00
_cell_angle_gamma 90.00
_space_group_name_H-M_alt 'P 1'
_space_group_IT_number 1
loop_
_space_group_symop_operation_xyz
'x,y,z'
loop_
_atom_site_label
_atom_site_type_symbol
_atom_site_fract_x
_atom_site_fract_y
_atom_site_fract_z
Re1 Re 0.5000 0.5000 0.1614
Re2 Re 0.5000 0.5000 0.8386
Zr1 Zr 0.0000 0.0000 0.0000
Zr2 Zr 0.0000 0.0000 0.6942
Zr3 Zr 0.0000 0.0000 0.3058
Cd1 Cd 0.5000 0.5000 0.5000

***

Entry 3:
# Zr2CdRe (PBE-GGA, optimized geometry)
# - Theoretical density: 9.95 g cm⁻³
# - SG: P2/m, No. 10
# - DFT total energy: -7.6415 eV per atom
# - Fermi-level density of states: 2.70 states/eV per cell
# - Magnetization: 0.0 μB per cell
data_Zr2CdRe
_cell_length_a 4.2229
_cell_length_b 3.0399
_cell_length_c 6.5829
_cell_angle_alpha 71.77
_cell_angle_beta 90.00
_cell_angle_gamma 90.00
_space_group_name_H-M_alt 'P 1'
_space_group_IT_number 1
loop_
_space_group_symop_operation_xyz
'x,y,z'
loop_
_atom_site_label
_atom_site_type_symbol
_atom_site_fract_x
_atom_site_fract_y
_atom_site_fract_z
Cd1 Cd 0.5000 0.2500 0.2500
Zr1 Zr 0.0000 0.9205 0.9772
Zr2 Zr 0.0000 0.5795 0.5228
Re1 Re 0.5000 0.7500 0.7500

***

Entry 4:
# ZrCdRe2 (PBE-GGA, optimized geometry)
# - Theoretical density: 12.95 g cm⁻³
# - SG: P4mm, No. 99
# - DFT total energy: -8.5356 eV per atom
# - Fermi-level density of states: 3.69 states/eV per cell
# - Magnetization: 0.0 μB per cell
data_ZrCdRe2
_cell_length_a 3.0435
_cell_length_b 3.0435
_cell_length_c 7.9714
_cell_angle_alpha 90.00
_cell_angle_beta 90.00
_cell_angle_gamma 90.00
_space_group_name_H-M_alt 'P 1'
_space_group_IT_number 1
loop_
_space_group_symop_operation_xyz
'x,y,z'
loop_
_atom_site_label
_atom_site_type_symbol
_atom_site_fract_x
_atom_site_fract_y
_atom_site_fract_z
Re1 Re 0.0000 0.0000 0.0393
Re2 Re 0.5000 0.5000 0.2177
Cd1 Cd 0.5000 0.5000 0.7712
Zr1 Zr 0.0000 0.0000 0.4718

***

Entry 5:
# ZrCdRe2 (PBE-GGA, optimized geometry)
# - Theoretical density: 13.51 g cm⁻³
# - SG: R-3m, No. 166
# - DFT total energy: -8.0875 eV per atom
# - Fermi-level density of states: 5.83 states/eV per cell
# - Magnetization: 0.0 μB per cell
data_ZrCdRe2
_cell_length_a 10.2292
_cell_length_b 10.2292
_cell_length_c 10.2292
_cell_angle_alpha 15.99
_cell_angle_beta 15.99
_cell_angle_gamma 15.99
_space_group_name_H-M_alt 'P 1'
_space_group_IT_number 1
loop_
_space_group_symop_operation_xyz
'x,y,z'
loop_
_atom_site_label
_atom_site_type_symbol
_atom_site_fract_x
_atom_site_fract_y
_atom_site_fract_z
Re1 Re 0.4990 0.4990 0.4990
Re2 Re 0.0010 0.0010 0.0010
Zr1 Zr 0.2500 0.2500 0.2500
Cd1 Cd 0.7500 0.7500 0.7500

***

Entry 6:
# ZrCdRe2 (PBE-GGA, optimized geometry)
# - Theoretical density: 13.64 g cm⁻³
# - SG: P2/m, No. 10
# - DFT total energy: -8.2629 eV per atom
# - Fermi-level density of states: 2.27 states/eV per cell
# - Magnetization: 0.0 μB per cell
data_ZrCdRe2
_cell_length_a 4.7512
_cell_length_b 2.7612
_cell_length_c 5.3934
_cell_angle_alpha 82.44
_cell_angle_beta 90.00
_cell_angle_gamma 90.00
_space_group_name_H-M_alt 'P 1'
_space_group_IT_number 1
loop_
_space_group_symop_operation_xyz
'x,y,z'
loop_
_atom_site_label
_atom_site_type_symbol
_atom_site_fract_x
_atom_site_fract_y
_atom_site_fract_z
Zr1 Zr 0.5000 0.2500 0.2500
Re1 Re 0.0000 0.5194 0.4916
Re2 Re 0.0000 0.9806 0.0084
Cd1 Cd 0.5000 0.7500 0.7500

***

Entry 7:
# Cd4Rh (PBE-GGA, optimized geometry)
# - Theoretical density: 6.56 g cm⁻³
# - SG: Pm-3m, No. 221
# - DFT total energy: -1.9929 eV per atom
# - Fermi-level density of states: 2.66 states/eV per cell
# - Magnetization: 0.0 μB per cell
data_Cd4Rh
_cell_length_a 5.1906
_cell_length_b 5.1906
_cell_length_c 5.1906
_cell_angle_alpha 90.00
_cell_angle_beta 90.00
_cell_angle_gamma 90.00
_space_group_name_H-M_alt 'P 1'
_space_group_IT_number 1
loop_
_space_group_symop_operation_xyz
'x,y,z'
loop_
_atom_site_label
_atom_site_type_symbol
_atom_site_fract_x
_atom_site_fract_y
_atom_site_fract_z
Cd1 Cd 0.0000 0.5000 0.5000
Cd2 Cd 0.5000 0.0000 0.5000
Cd3 Cd 0.5000 0.5000 0.0000
Cd4 Cd 0.0000 0.0000 0.0000
Rh1 Rh 0.5000 0.5000 0.5000

***

Entry 8:
# Cd5Rh (PBE-GGA, optimized geometry)
# - Theoretical density: 8.49 g cm⁻³
# - SG: I4/mcm, No. 140
# - ΔE to the lowest computed polymorph: 0.0000 eV per atom
# - Fermi-level density of states: 5.77 states/eV per cell
# - Magnetization: 0.0 μB per cell
data_Cd5Rh
_cell_length_a 6.8039
_cell_length_b 6.8039
_cell_length_c 7.3956
_cell_angle_alpha 117.39
_cell_angle_beta 117.39
_cell_angle_gamma 90.00
_space_group_name_H-M_alt 'P 1'
_space_group_IT_number 1
loop_
_space_group_symop_operation_xyz
'x,y,z'
loop_
_atom_site_label
_atom_site_type_symbol
_atom_site_fract_x
_atom_site_fract_y
_atom_site_fract_z
Cd1 Cd 0.6983 0.1983 0.7226
Cd2 Cd 0.5243 0.6983 0.7226
Cd3 Cd 0.1983 0.0243 0.7226
Cd4 Cd 0.9757 0.4757 0.2774
Cd5 Cd 0.5000 0.5000 0.0000
Cd6 Cd 0.3017 0.8017 0.2774
Cd7 Cd 0.0243 0.5243 0.7226
Cd8 Cd 0.8017 0.9757 0.2774
Cd9 Cd 0.4757 0.3017 0.2774
Cd10 Cd 0.0000 0.0000 0.0000
Rh1 Rh 0.7500 0.7500 0.5000
Rh2 Rh 0.2500 0.2500 0.5000

***

Copy entry 3 word for word.
# Zr2CdRe (PBE-GGA, optimized geometry)
# - Theoretical density: 9.95 g cm⁻³
# - SG: P2/m, No. 10
# - DFT total energy: -7.6415 eV per atom
# - Fermi-level density of states: 2.70 states/eV per cell
# - Magnetization: 0.0 μB per cell
data_Zr2CdRe
_cell_length_a 4.2229
_cell_length_b 3.0399
_cell_length_c 6.5829
_cell_angle_alpha 71.77
_cell_angle_beta 90.00
_cell_angle_gamma 90.00
_space_group_name_H-M_alt 'P 1'
_space_group_IT_number 1
loop_
_space_group_symop_operation_xyz
'x,y,z'
loop_
_atom_site_label
_atom_site_type_symbol
_atom_site_fract_x
_atom_site_fract_y
_atom_site_fract_z
Cd1 Cd 0.5000 0.2500 0.2500
Zr1 Zr 0.0000 0.9205 0.9772
Zr2 Zr 0.0000 0.5795 0.5228
Re1 Re 0.5000 0.7500 0.7500